This record from the Alexandria database describes crystalline MgZnOs2 at its relaxed geometry. The functional is GGA-PBEsol.

Unit cell a=5.250 b=5.250 c=5.250 alpha=148.13 beta=129.99 gamma=60.53
Fractional positions:
Mg (0.000, 0.000, 0.000)
Zn (0.735, 0.235, 0.500)
Os (0.260, 0.760, 0.500)
Os (0.492, 0.492, 0.000)

Calculated values
Space group: No. 44
Energy relative to the elements (eV/atom): 0.312